Entry 1:
{
  "formula": "Fe2CoNi2",
  "functional": "GGA-PBE",
  "state": "optimized geometry",
  "lattice_angstrom": [[-1.699, 1.699, 5.475], [1.699, -1.699, 5.475], [1.699, 1.699, -5.475]],
  "species": ["Fe", "Fe", "Co", "Ni", "Ni"],
  "fractional_positions": [[0.250, 0.750, 0.500], [0.750, 0.250, 0.500], [0.000, 0.000, 0.000], [0.400, 0.400, 0.000], [0.600, 0.600, 0.000]],
  "crystal_system": "tetragonal",
  "delta_e_f_ev_per_atom": 0.465
}

---

Entry 2:
{
  "formula": "PmGdBeGa",
  "functional": "GGA-PBE",
  "state": "optimized geometry",
  "lattice_angstrom": [[0.000, 3.571, 3.571], [3.571, 0.000, 3.571], [3.571, 3.571, 0.000]],
  "species": ["Pm", "Gd", "Be", "Ga"],
  "fractional_positions": [[0.000, 0.000, 0.000], [0.500, 0.500, 0.500], [0.750, 0.750, 0.750], [0.250, 0.250, 0.250]],
  "crystal_system": "cubic",
  "delta_e_f_ev_per_atom": -0.196
}

---

Entry 3:
{
  "formula": "GaReN2",
  "functional": "GGA-PBE",
  "state": "optimized geometry",
  "lattice_angstrom": [[-2.377, 2.377, 4.312], [2.377, -2.377, 4.312], [2.377, 2.377, -4.312]],
  "species": ["Ga", "Ga", "Re", "Re", "N", "N", "N", "N"],
  "fractional_positions": [[0.000, 0.000, 0.000], [0.750, 0.250, 0.500], [0.250, 0.750, 0.500], [0.500, 0.500, 0.000], [0.115, 0.625, 0.990], [0.375, 0.365, 0.490], [0.635, 0.125, 0.010], [0.875, 0.885, 0.510]],
  "e_form_raw_ev_per_atom": 0.324,
  "crystal_system": "tetragonal"
}

---

Entry 4:
{
  "formula": "BeFe2Se",
  "functional": "GGA-PBE",
  "state": "optimized geometry",
  "lattice_angstrom": [[-1.760, 1.760, 8.309], [1.760, -1.760, 8.309], [1.760, 1.760, -8.309]],
  "species": ["Be", "Be", "Fe", "Fe", "Fe", "Fe", "Se", "Se"],
  "fractional_positions": [[0.000, 0.000, 0.000], [0.750, 0.250, 0.500], [0.110, 0.625, 0.985], [0.375, 0.360, 0.485], [0.640, 0.125, 0.015], [0.875, 0.890, 0.515], [0.250, 0.750, 0.500], [0.500, 0.500, 0.000]],
  "e_form_raw_ev_per_atom": 0.259,
  "crystal_system": "tetragonal"
}

---

Quick rundown of spin magnetization, same order as above: 8.45 7.55 1.44 8.93 μB per cell